# ZnRh9W2

A relaxed structure of ZnRh9W2 (PBE-GGA, Alexandria).

Computed properties:
**Total magnetic moment**: 0.0 μB/f.u.
**Space group**: No. 123
**Energy of formation**: -287 kJ/mol of formula units
**E**: -96.3 eV per cell
**Crystal system**: tetragonal

abc: 3.8635 3.8635 11.5747
angles: 90.00 90.00 90.00
Positions (direct):
Zn  0.0000  0.0000  0.0000
Rh  0.0000  0.5000  0.1707
Rh  0.0000  0.5000  0.5000
Rh  0.0000  0.5000  0.8293
Rh  0.5000  0.0000  0.1707
Rh  0.5000  0.0000  0.5000
Rh  0.5000  0.0000  0.8293
Rh  0.5000  0.5000  0.0000
Rh  0.5000  0.5000  0.3359
Rh  0.5000  0.5000  0.6641
W  0.0000  0.0000  0.3262
W  0.0000  0.0000  0.6738